Record 1
Below is a relaxed KCdNi2 crystal, with properties calculated at the GGA-PBE level.

The structure belongs to space group P2/m (No. 10); the cell edges are 2.8125, 4.5591 and 6.8065 Å and the angles 90.00°, 97.59° and 90.00°. The distinct sites, in fractional coordinates, are K at (0.0000, 0.0000, 0.0000), Cd at (0.5000, 0.0000, 0.5000) and Ni at (0.2612, 0.5000, 0.6458).

The calculation puts the total moment at 0.129 μB per atom. The calculation puts the density at 5.2 g cm⁻³. The formation energy is 0.464 eV per atom.

---

Record 2
Below is a relaxed KCdNi2 crystal, with properties calculated at the GGA-PBE level.

The structure belongs to space group C2/m (No. 12); the cell edges are 6.2505, 8.0763 and 2.8594 Å and the angles 90.00°, 90.27° and 90.00°. The distinct sites, in fractional coordinates, are K at (0.0000, 0.0000, 0.0000), Cd at (0.0000, 0.5000, 0.0000) and Ni at (0.2500, 0.2500, 0.5000).

The calculation puts the total moment at 0.000 μB per atom. The calculation puts the density at 6.2 g cm⁻³. The formation energy is 0.687 eV per atom.

---

Record 3
Below is a relaxed KCd2Ni2 crystal, with properties calculated at the GGA-PBE level.

The structure belongs to space group P4/mbm (No. 127); the cell edges are 8.0623, 8.0623 and 2.9264 Å and the angles 90.00°, 90.00° and 90.00°. The distinct sites, in fractional coordinates, are K at (0.0000, 0.0000, 0.0000), Cd at (0.1726, 0.3274, 0.5000) and Ni at (0.1135, 0.6135, 0.0000).

The calculation puts the total moment at 0.000 μB per atom. The value obtained for the offset from the most stable computed form is 0 meV/atom. The calculation puts the density at 6.7 g cm⁻³. The formation energy is 0.200 eV per atom.

---

Record 4
Below is a relaxed KCdNi2 crystal, with properties calculated at the GGA-PBE level.

The structure belongs to space group Imm2 (No. 44); the cell edges are 2.7777, 5.2133 and 10.6691 Å and the angles 90.00°, 90.00° and 90.00°. The distinct sites, in fractional coordinates, are K at (0.0000, 0.0000, 0.0000), Cd at (0.0000, 0.5000, 0.1987), Ni at (0.0000, 0.0000, 0.4718) and Ni at (0.0000, 0.5000, 0.7917).

The calculation puts the total moment at 0.184 μB per atom. The calculation puts the density at 5.8 g cm⁻³. The formation energy is 0.486 eV per atom.

---

Record 5
Below is a relaxed KCdNi2 crystal, with properties calculated at the GGA-PBE level.

The structure belongs to space group I4_1/amd (No. 141, origin choice 2); the cell edges are 4.7471, 4.7471 and 18.2744 Å and the angles 90.00°, 90.00° and 90.00°. The distinct sites, in fractional coordinates, are K at (0.0000, 0.2500, 0.3750), Cd at (0.0000, 0.2500, 0.8750) and Ni at (0.0000, 0.0000, 0.0000).

The calculation puts the total moment at 0.218 μB per atom. The calculation puts the density at 4.3 g cm⁻³. The formation energy is 0.525 eV per atom.

---

Record 6
Below is a relaxed KCd2Ni2 crystal, with properties calculated at the GGA-PBE level.

The structure belongs to space group I4/mmm (No. 139); the cell edges are 4.5673, 4.5673 and 10.3877 Å and the angles 90.00°, 90.00° and 90.00°. The distinct sites, in fractional coordinates, are K at (0.0000, 0.0000, 0.0000), Cd at (0.0000, 0.5000, 0.2500) and Ni at (0.0000, 0.0000, 0.3885).

The calculation puts the total moment at 0.000 μB per atom. The value obtained for the offset from the most stable computed form is 69 meV/atom. The calculation puts the density at 5.8 g cm⁻³. The formation energy is 0.269 eV per atom.